Lu2AlPd | PBE | optimized geometry Values from VASP.

## Properties
As for the electronic total energy: -19.36 eV per cell. As for the space group: No. 216.

Structure (Quantum ESPRESSO input):
```
&SYSTEM
  ibrav = 0, nat = 4, ntyp = 3
/
ATOMIC_SPECIES
Al 26.98 Al.upf
Pd 106.42 Pd.upf
Lu 174.97 Lu.upf
ATOMIC_POSITIONS crystal
Al 0.500 0.500 0.500
Pd 0.250 0.250 0.250
Lu 0.750 0.750 0.750
Lu 0.000 0.000 0.000
CELL_PARAMETERS angstrom
0.000 3.439 3.439
3.439 0.000 3.439
3.439 3.439 0.000
```

ZrScFeGe2 | PBE | optimized geometry Values from VASP.

## Properties
As for the electronic total energy: -71.64 eV per cell. As for the space group: No. 12.

Structure (Quantum ESPRESSO input):
```
&SYSTEM
  ibrav = 0, nat = 10, ntyp = 4
/
ATOMIC_SPECIES
Sc 44.96 Sc.upf
Ge 72.64 Ge.upf
Zr 91.22 Zr.upf
Fe 55.84 Fe.upf
ATOMIC_POSITIONS crystal
Sc 0.999 0.999 0.828
Sc 0.001 0.001 0.172
Ge 0.485 0.485 0.628
Ge 0.649 0.649 0.072
Ge 0.515 0.515 0.372
Ge 0.351 0.351 0.928
Zr 0.814 0.814 0.398
Zr 0.186 0.186 0.602
Fe 0.277 0.277 0.128
Fe 0.723 0.723 0.872
CELL_PARAMETERS angstrom
-1.921 -0.778 5.008
-4.491 -2.056 2.231
6.560 -6.387 -3.132
```

TaZnNiHg | PBE | optimized geometry Values from VASP.

## Properties
As for the electronic total energy: -17.90 eV per cell. The formation enthalpy at 0 K is 6.25 kcal/mol of atoms. As for the space group: No. 216.

Structure (Quantum ESPRESSO input):
```
&SYSTEM
  ibrav = 0, nat = 4, ntyp = 4
/
ATOMIC_SPECIES
Ni 58.69 Ni.upf
Hg 200.59 Hg.upf
Ta 180.95 Ta.upf
Zn 65.41 Zn.upf
ATOMIC_POSITIONS crystal
Ni 0.750 0.750 0.750
Hg 0.250 0.250 0.250
Ta 0.500 0.500 0.500
Zn 0.000 0.000 0.000
CELL_PARAMETERS angstrom
0.000 3.175 3.175
3.175 0.000 3.175
3.175 3.175 0.000
```

- Which formula does entry 3 have?
  TaZnNiHg